Record 1
A relaxed structure of La2MgTaPt, computed with PBE.

Geometry as CIF:
```
data_La2MgTaPt
_space_group_name_H-M_alt 'P 1'
_space_group_IT_number 1
_space_group_name_Hall 'P 1'
_cell_length_a 5.730
_cell_length_b 5.730
_cell_length_c 4.540
_cell_angle_alpha 90.00
_cell_angle_beta 90.00
_cell_angle_gamma 90.00
loop_
_atom_site_label
_atom_site_fract_x
_atom_site_fract_y
_atom_site_fract_z
_atom_site_occupancy
La1 0.000 0.500 0.000 1
La2 0.500 0.000 0.000 1
Mg1 0.000 0.000 0.000 1
Ta1 0.500 0.500 0.500 1
Pt1 0.000 0.000 0.500 1
```

Calculated values
M_tot (Bohr magnetons per cell): 2.94
ΔH_f (0 K) (meV per atom): 887.7
Final energy (eV/atom): -4.98



Record 2
A relaxed structure of LaMgTlPt, computed with PBE.

Geometry as CIF:
```
data_LaMgTlPt
_space_group_name_H-M_alt 'P 1'
_space_group_IT_number 1
_space_group_name_Hall 'P 1'
_cell_length_a 5.130
_cell_length_b 5.130
_cell_length_c 5.130
_cell_angle_alpha 60.00
_cell_angle_beta 60.00
_cell_angle_gamma 60.00
loop_
_atom_site_label
_atom_site_fract_x
_atom_site_fract_y
_atom_site_fract_z
_atom_site_occupancy
La1 0.000 0.000 0.000 1
Mg1 0.500 0.500 0.500 1
Tl1 0.750 0.750 0.750 1
Pt1 0.250 0.250 0.250 1
```

Calculated values
M_tot (Bohr magnetons per cell): 0.00
ΔH_f (0 K) (meV per atom): -562.3
Final energy (eV/atom): -4.29



Record 3
A relaxed structure of LaMg2TlPt, computed with PBE.

Geometry as CIF:
```
data_LaMg2TlPt
_space_group_name_H-M_alt 'P 1'
_space_group_IT_number 1
_space_group_name_Hall 'P 1'
_cell_length_a 5.144
_cell_length_b 5.144
_cell_length_c 5.458
_cell_angle_alpha 90.00
_cell_angle_beta 90.00
_cell_angle_gamma 90.00
loop_
_atom_site_label
_atom_site_fract_x
_atom_site_fract_y
_atom_site_fract_z
_atom_site_occupancy
La1 0.000 0.000 0.000 1
Mg1 0.000 0.500 0.500 1
Mg2 0.500 0.000 0.500 1
Tl1 0.500 0.500 0.000 1
Pt1 0.000 0.000 0.500 1
```

Calculated values
M_tot (Bohr magnetons per cell): 0.00
ΔH_f (0 K) (meV per atom): -478.3
Final energy (eV/atom): -3.78



Record 4
A relaxed structure of La2MgZn3Pt4, computed with PBE.

Geometry as CIF:
```
data_La2MgZn3Pt4
_space_group_name_H-M_alt 'P 1'
_space_group_IT_number 1
_space_group_name_Hall 'P 1'
_cell_length_a 4.204
_cell_length_b 4.204
_cell_length_c 11.288
_cell_angle_alpha 90.00
_cell_angle_beta 90.00
_cell_angle_gamma 90.00
loop_
_atom_site_label
_atom_site_fract_x
_atom_site_fract_y
_atom_site_fract_z
_atom_site_occupancy
La1 0.000 0.500 0.238 1
La2 0.500 0.000 0.762 1
Mg1 0.000 0.000 0.500 1
Zn1 0.000 0.500 0.872 1
Zn2 0.500 0.000 0.128 1
Zn3 0.500 0.500 0.500 1
Pt1 0.000 0.000 0.000 1
Pt2 0.000 0.500 0.647 1
Pt3 0.500 0.000 0.353 1
Pt4 0.500 0.500 0.000 1
```

Calculated values
M_tot (Bohr magnetons per cell): 0.00
ΔH_f (0 K) (meV per atom): -824.3
Final energy (eV/atom): -4.77



Record 5
A relaxed structure of LaMgZn5Pt2, computed with PBE.

Geometry as CIF:
```
data_LaMgZn5Pt2
_space_group_name_H-M_alt 'P 1'
_space_group_IT_number 1
_space_group_name_Hall 'P 1'
_cell_length_a 4.862
_cell_length_b 4.862
_cell_length_c 7.626
_cell_angle_alpha 90.00
_cell_angle_beta 90.00
_cell_angle_gamma 90.00
loop_
_atom_site_label
_atom_site_fract_x
_atom_site_fract_y
_atom_site_fract_z
_atom_site_occupancy
La1 0.000 0.000 0.000 1
Mg1 0.000 0.000 0.500 1
Zn1 0.000 0.500 0.279 1
Zn2 0.000 0.500 0.721 1
Zn3 0.500 0.000 0.279 1
Zn4 0.500 0.000 0.721 1
Zn5 0.500 0.500 0.000 1
Pt1 0.500 0.500 0.321 1
Pt2 0.500 0.500 0.679 1
```

Calculated values
M_tot (Bohr magnetons per cell): 0.00
ΔH_f (0 K) (meV per atom): -303.9
Final energy (eV/atom): -3.08



Record 6
A relaxed structure of LaMg2ZnPt2, computed with PBE.

Geometry as CIF:
```
data_LaMg2ZnPt2
_space_group_name_H-M_alt 'P 1'
_space_group_IT_number 1
_space_group_name_Hall 'P 1'
_cell_length_a 6.454
_cell_length_b 6.454
_cell_length_c 6.454
_cell_angle_alpha 132.26
_cell_angle_beta 132.26
_cell_angle_gamma 69.82
loop_
_atom_site_label
_atom_site_fract_x
_atom_site_fract_y
_atom_site_fract_z
_atom_site_occupancy
La1 0.000 0.000 0.000 1
Mg1 0.250 0.750 0.500 1
Mg2 0.750 0.250 0.500 1
Zn1 0.500 0.500 0.000 1
Pt1 0.267 0.267 0.000 1
Pt2 0.733 0.733 0.000 1
```

Calculated values
M_tot (Bohr magnetons per cell): 0.00
ΔH_f (0 K) (meV per atom): -507.1
Final energy (eV/atom): -4.09



Record 7
A relaxed structure of LaMgZnPt2, computed with PBE.

Geometry as CIF:
```
data_LaMgZnPt2
_space_group_name_H-M_alt 'P 1'
_space_group_IT_number 1
_space_group_name_Hall 'P 1'
_cell_length_a 6.885
_cell_length_b 6.885
_cell_length_c 6.885
_cell_angle_alpha 145.84
_cell_angle_beta 145.84
_cell_angle_gamma 49.08
loop_
_atom_site_label
_atom_site_fract_x
_atom_site_fract_y
_atom_site_fract_z
_atom_site_occupancy
La1 0.000 0.000 0.000 1
Mg1 0.750 0.250 0.500 1
Zn1 0.250 0.750 0.500 1
Pt1 0.390 0.390 0.000 1
Pt2 0.610 0.610 0.000 1
```

Calculated values
M_tot (Bohr magnetons per cell): 0.00
ΔH_f (0 K) (meV per atom): -902.2
Final energy (eV/atom): -4.88



Record 8
A relaxed structure of La2MgZn4Pt3, computed with PBE.

Geometry as CIF:
```
data_La2MgZn4Pt3
_space_group_name_H-M_alt 'P 1'
_space_group_IT_number 1
_space_group_name_Hall 'P 1'
_cell_length_a 4.081
_cell_length_b 4.081
_cell_length_c 12.075
_cell_angle_alpha 90.00
_cell_angle_beta 90.00
_cell_angle_gamma 90.00
loop_
_atom_site_label
_atom_site_fract_x
_atom_site_fract_y
_atom_site_fract_z
_atom_site_occupancy
La1 0.000 0.500 0.234 1
La2 0.500 0.000 0.766 1
Mg1 0.000 0.000 0.500 1
Zn1 0.000 0.000 0.000 1
Zn2 0.000 0.500 0.642 1
Zn3 0.500 0.000 0.358 1
Zn4 0.500 0.500 0.000 1
Pt1 0.000 0.500 0.858 1
Pt2 0.500 0.000 0.142 1
Pt3 0.500 0.500 0.500 1
```

Calculated values
M_tot (Bohr magnetons per cell): 0.00
ΔH_f (0 K) (meV per atom): -725.8
Final energy (eV/atom): -4.19



Record 9
A relaxed structure of La2MgZn2Pt5, computed with PBE.

Geometry as CIF:
```
data_La2MgZn2Pt5
_space_group_name_H-M_alt 'P 1'
_space_group_IT_number 1
_space_group_name_Hall 'P 1'
_cell_length_a 9.951
_cell_length_b 9.951
_cell_length_c 3.834
_cell_angle_alpha 90.00
_cell_angle_beta 90.00
_cell_angle_gamma 90.00
loop_
_atom_site_label
_atom_site_fract_x
_atom_site_fract_y
_atom_site_fract_z
_atom_site_occupancy
La1 0.178 0.322 0.000 1
La2 0.322 0.822 0.000 1
La3 0.678 0.178 0.000 1
La4 0.822 0.678 0.000 1
Mg1 0.000 0.000 0.000 1
Mg2 0.500 0.500 0.000 1
Zn1 0.120 0.620 0.000 1
Zn2 0.380 0.120 0.000 1
Zn3 0.620 0.880 0.000 1
Zn4 0.880 0.380 0.000 1
Pt1 0.000 0.500 0.500 1
Pt2 0.063 0.793 0.500 1
Pt3 0.207 0.063 0.500 1
Pt4 0.293 0.563 0.500 1
Pt5 0.437 0.293 0.500 1
Pt6 0.500 0.000 0.500 1
Pt7 0.563 0.707 0.500 1
Pt8 0.707 0.437 0.500 1
Pt9 0.793 0.937 0.500 1
Pt10 0.937 0.207 0.500 1
```

Calculated values
M_tot (Bohr magnetons per cell): 0.00
ΔH_f (0 K) (meV per atom): -810.3
Final energy (eV/atom): -5.23



Record 10
A relaxed structure of La2PuMg, computed with PBE.

Geometry as CIF:
```
data_La2PuMg
_space_group_name_H-M_alt 'P 1'
_space_group_IT_number 1
_space_group_name_Hall 'P 1'
_cell_length_a 3.595
_cell_length_b 3.595
_cell_length_c 9.645
_cell_angle_alpha 90.00
_cell_angle_beta 90.00
_cell_angle_gamma 90.00
loop_
_atom_site_label
_atom_site_fract_x
_atom_site_fract_y
_atom_site_fract_z
_atom_site_occupancy
La1 0.000 0.000 0.249 1
La2 0.000 0.000 0.751 1
Pu1 0.500 0.500 0.500 1
Mg1 0.500 0.500 0.000 1
```

Calculated values
M_tot (Bohr magnetons per cell): 6.13
ΔH_f (0 K) (meV per atom): 57.2
Final energy (eV/atom): -6.39
Energy above the most stable polymorph in this dataset (eV per formula unit): 0.04



Record 11
A relaxed structure of La2PuMg, computed with PBE.

Geometry as CIF:
```
data_La2PuMg
_space_group_name_H-M_alt 'P 1'
_space_group_IT_number 1
_space_group_name_Hall 'P 1'
_cell_length_a 5.632
_cell_length_b 5.632
_cell_length_c 5.632
_cell_angle_alpha 60.00
_cell_angle_beta 60.00
_cell_angle_gamma 60.00
loop_
_atom_site_label
_atom_site_fract_x
_atom_site_fract_y
_atom_site_fract_z
_atom_site_occupancy
La1 0.250 0.250 0.250 1
La2 0.750 0.750 0.750 1
Pu1 0.000 0.000 0.000 1
Mg1 0.500 0.500 0.500 1
```

Calculated values
M_tot (Bohr magnetons per cell): 6.38
ΔH_f (0 K) (meV per atom): 118.9
Final energy (eV/atom): -6.33
Energy above the most stable polymorph in this dataset (eV per formula unit): 0.29



Record 12
A relaxed structure of La14PuMg, computed with PBE.

Geometry as CIF:
```
data_La14PuMg
_space_group_name_H-M_alt 'P 1'
_space_group_IT_number 1
_space_group_name_Hall 'P 1'
_cell_length_a 10.425
_cell_length_b 7.319
_cell_length_c 7.319
_cell_angle_alpha 90.07
_cell_angle_beta 90.00
_cell_angle_gamma 90.00
loop_
_atom_site_label
_atom_site_fract_x
_atom_site_fract_y
_atom_site_fract_z
_atom_site_occupancy
La1 0.000 0.000 0.000 1
La2 0.000 0.003 0.494 1
La3 0.000 0.494 0.003 1
La4 0.000 0.498 0.498 1
La5 0.254 0.749 0.749 1
La6 0.259 0.248 0.750 1
La7 0.259 0.750 0.248 1
La8 0.265 0.247 0.247 1
La9 0.500 0.505 0.993 1
La10 0.500 0.993 0.505 1
La11 0.735 0.247 0.247 1
La12 0.741 0.248 0.750 1
La13 0.741 0.750 0.248 1
La14 0.746 0.749 0.749 1
Pu1 0.500 0.999 0.999 1
Mg1 0.500 0.499 0.499 1
```

Calculated values
M_tot (Bohr magnetons per cell): 6.69
ΔH_f (0 K) (meV per atom): 15.8
Final energy (eV/atom): -5.29



Record 13
A relaxed structure of LaPuMg2, computed with PBE.

Geometry as CIF:
```
data_LaPuMg2
_space_group_name_H-M_alt 'P 1'
_space_group_IT_number 1
_space_group_name_Hall 'P 1'
_cell_length_a 5.502
_cell_length_b 5.502
_cell_length_c 5.502
_cell_angle_alpha 60.00
_cell_angle_beta 60.00
_cell_angle_gamma 60.00
loop_
_atom_site_label
_atom_site_fract_x
_atom_site_fract_y
_atom_site_fract_z
_atom_site_occupancy
La1 0.000 0.000 0.000 1
Pu1 0.500 0.500 0.500 1
Mg1 0.250 0.250 0.250 1
Mg2 0.750 0.750 0.750 1
```

Calculated values
M_tot (Bohr magnetons per cell): 6.49
ΔH_f (0 K) (meV per atom): 104.1
Final energy (eV/atom): -5.51
Energy above the most stable polymorph in this dataset (eV per formula unit): 0.14



Record 14
A relaxed structure of LaPuMg2, computed with PBE.

Geometry as CIF:
```
data_LaPuMg2
_space_group_name_H-M_alt 'P 1'
_space_group_IT_number 1
_space_group_name_Hall 'P 1'
_cell_length_a 4.725
_cell_length_b 4.725
_cell_length_c 5.056
_cell_angle_alpha 90.00
_cell_angle_beta 90.00
_cell_angle_gamma 90.00
loop_
_atom_site_label
_atom_site_fract_x
_atom_site_fract_y
_atom_site_fract_z
_atom_site_occupancy
La1 0.000 0.000 0.000 1
Pu1 0.500 0.500 0.000 1
Mg1 0.000 0.500 0.500 1
Mg2 0.500 0.000 0.500 1
```

Calculated values
M_tot (Bohr magnetons per cell): 6.29
ΔH_f (0 K) (meV per atom): 98.2
Final energy (eV/atom): -5.51
Energy above the most stable polymorph in this dataset (eV per formula unit): 0.11



Record 15
A relaxed structure of La2PuMg, computed with PBE.

Geometry as CIF:
```
data_La2PuMg
_space_group_name_H-M_alt 'P 1'
_space_group_IT_number 1
_space_group_name_Hall 'P 1'
_cell_length_a 11.740
_cell_length_b 11.740
_cell_length_c 11.740
_cell_angle_alpha 17.34
_cell_angle_beta 17.34
_cell_angle_gamma 17.34
loop_
_atom_site_label
_atom_site_fract_x
_atom_site_fract_y
_atom_site_fract_z
_atom_site_occupancy
La1 0.000 0.000 0.000 1
La2 0.171 0.171 0.171 1
Pu1 0.585 0.585 0.585 1
Mg1 0.752 0.752 0.752 1
```

Calculated values
M_tot (Bohr magnetons per cell): 5.80
ΔH_f (0 K) (meV per atom): 128.1
Final energy (eV/atom): -6.32
Energy above the most stable polymorph in this dataset (eV per formula unit): 0.33



Record 16
A relaxed structure of LaPuMg2, computed with PBE.

Geometry as CIF:
```
data_LaPuMg2
_space_group_name_H-M_alt 'P 1'
_space_group_IT_number 1
_space_group_name_Hall 'P 1'
_cell_length_a 3.285
_cell_length_b 3.285
_cell_length_c 10.260
_cell_angle_alpha 90.00
_cell_angle_beta 90.00
_cell_angle_gamma 90.00
loop_
_atom_site_label
_atom_site_fract_x
_atom_site_fract_y
_atom_site_fract_z
_atom_site_occupancy
La1 0.000 0.000 0.000 1
Pu1 0.000 0.000 0.500 1
Mg1 0.500 0.500 0.257 1
Mg2 0.500 0.500 0.743 1
```

Calculated values
M_tot (Bohr magnetons per cell): 6.04
ΔH_f (0 K) (meV per atom): 69.7
Final energy (eV/atom): -5.54
Energy above the most stable polymorph in this dataset (eV per formula unit): 0.00



Record 17
A relaxed structure of LaPu4Mg, computed with PBE.

Geometry as CIF:
```
data_LaPu4Mg
_space_group_name_H-M_alt 'P 1'
_space_group_IT_number 1
_space_group_name_Hall 'P 1'
_cell_length_a 6.194
_cell_length_b 6.194
_cell_length_c 6.194
_cell_angle_alpha 60.00
_cell_angle_beta 60.00
_cell_angle_gamma 60.00
loop_
_atom_site_label
_atom_site_fract_x
_atom_site_fract_y
_atom_site_fract_z
_atom_site_occupancy
La1 0.000 0.000 0.000 1
Pu1 0.376 0.376 0.376 1
Pu2 0.376 0.376 0.873 1
Pu3 0.376 0.873 0.376 1
Pu4 0.873 0.376 0.376 1
Mg1 0.750 0.750 0.750 1
```

Calculated values
M_tot (Bohr magnetons per cell): 23.44
ΔH_f (0 K) (meV per atom): 292.4
Final energy (eV/atom): -10.35



Record 18
A relaxed structure of La2PuMg, computed with PBE.

Geometry as CIF:
```
data_La2PuMg
_space_group_name_H-M_alt 'P 1'
_space_group_IT_number 1
_space_group_name_Hall 'P 1'
_cell_length_a 5.786
_cell_length_b 5.786
_cell_length_c 3.682
_cell_angle_alpha 90.00
_cell_angle_beta 90.00
_cell_angle_gamma 90.00
loop_
_atom_site_label
_atom_site_fract_x
_atom_site_fract_y
_atom_site_fract_z
_atom_site_occupancy
La1 0.000 0.500 0.000 1
La2 0.500 0.000 0.000 1
Pu1 0.000 0.000 0.500 1
Mg1 0.500 0.500 0.500 1
```

Calculated values
M_tot (Bohr magnetons per cell): 6.56
ΔH_f (0 K) (meV per atom): 46.2
Final energy (eV/atom): -6.40
Energy above the most stable polymorph in this dataset (eV per formula unit): 0.00



Record 19
A relaxed structure of LaPuThMg, computed with PBE.

Geometry as CIF:
```
data_LaPuThMg
_space_group_name_H-M_alt 'P 1'
_space_group_IT_number 1
_space_group_name_Hall 'P 1'
_cell_length_a 5.515
_cell_length_b 5.515
_cell_length_c 5.515
_cell_angle_alpha 60.00
_cell_angle_beta 60.00
_cell_angle_gamma 60.00
loop_
_atom_site_label
_atom_site_fract_x
_atom_site_fract_y
_atom_site_fract_z
_atom_site_occupancy
La1 0.000 0.000 0.000 1
Pu1 0.750 0.750 0.750 1
Th1 0.500 0.500 0.500 1
Mg1 0.250 0.250 0.250 1
```

Calculated values
M_tot (Bohr magnetons per cell): 6.81
ΔH_f (0 K) (meV per atom): 152.2
Final energy (eV/atom): -6.92



Record 20
A relaxed structure of LaPuMgTl, computed with PBE.

Geometry as CIF:
```
data_LaPuMgTl
_space_group_name_H-M_alt 'P 1'
_space_group_IT_number 1
_space_group_name_Hall 'P 1'
_cell_length_a 5.511
_cell_length_b 5.511
_cell_length_c 5.511
_cell_angle_alpha 60.00
_cell_angle_beta 60.00
_cell_angle_gamma 60.00
loop_
_atom_site_label
_atom_site_fract_x
_atom_site_fract_y
_atom_site_fract_z
_atom_site_occupancy
La1 0.000 0.000 0.000 1
Pu1 0.500 0.500 0.500 1
Mg1 0.250 0.250 0.250 1
Tl1 0.750 0.750 0.750 1
```

Calculated values
M_tot (Bohr magnetons per cell): 6.37
ΔH_f (0 K) (meV per atom): -58.9
Final energy (eV/atom): -5.86